The following is a PBE calculation of an optimized crystal structure of Sr2MgCd6Ag, from Alexandria via LeMat-Bulk.

Unit cell a=7.2546 b=7.2546 c=13.0845 alpha=73.91 beta=73.91 gamma=60.00
Closest atoms and distances in Å follow each position.
Atoms (fractional coordinates):
Sr1 0.8933 0.8933 0.3202  12 Cd 3.71-3.81, 1 Ag 3.97
Sr2 0.1067 0.1067 0.6798  12 Cd 3.71-3.81, 1 Ag 3.97
Sr3 0.7196 0.7196 0.8412  12 Cd 3.52-3.73
Sr4 0.2804 0.2804 0.1588  12 Cd 3.52-3.73
Mg1 0.5732 0.5732 0.2805  1 Ag 2.72, 6 Cd 2.88-2.97
Mg2 0.4268 0.4268 0.7195  1 Ag 2.72, 6 Cd 2.88-2.97
Cd1 0.9307 0.3304 0.4084  1 Ag 2.76, 2 Cd 2.90, 1 Mg 2.97
Cd2 0.3304 0.9307 0.4084  1 Ag 2.76, 2 Cd 2.90, 1 Mg 2.97
Cd3 0.3304 0.3304 0.4084  1 Ag 2.76, 2 Cd 2.90, 1 Mg 2.97
Cd4 0.0693 0.6696 0.5916  1 Ag 2.76, 2 Cd 2.90, 1 Mg 2.97
Cd5 0.6696 0.0693 0.5916  1 Ag 2.76, 2 Cd 2.90, 1 Mg 2.97
Cd6 0.6696 0.6696 0.5916  1 Ag 2.76, 2 Cd 2.90, 1 Mg 2.97
Cd7 0.6423 0.2264 0.9049  1 Ag 2.72, 1 Mg 2.88, 2 Cd 3.02
Cd8 0.2264 0.6423 0.9049  1 Ag 2.72, 1 Mg 2.88, 2 Cd 3.02
Cd9 0.2264 0.2264 0.9049  1 Ag 2.72, 1 Mg 2.88, 2 Cd 3.02
Cd10 0.3577 0.7736 0.0951  1 Ag 2.72, 1 Mg 2.88, 2 Cd 3.02
Cd11 0.7736 0.3577 0.0951  1 Ag 2.72, 1 Mg 2.88, 2 Cd 3.02
Cd12 0.7736 0.7736 0.0951  1 Ag 2.72, 1 Mg 2.88, 2 Cd 3.02
Ag1 0.0000 0.0000 0.0000  6 Cd 2.72
Ag2 0.5000 0.5000 0.5000  2 Mg 2.72, 6 Cd 2.76

Uncorrected energy: -1.49 eV per atom
SG: R-3m
Magnetization: 0.0 μB/cell